This record from Alexandria describes CeAlPtAu after structural relaxation. The functional is GGA-PBE.

As for the density: 11.510 g/cm³. The total energy comes out at -5.47 eV per atom. The size of the total moment comes out at 0.29 μB per formula unit. The calculation puts the energy of formation from the pure elements at -718.0 meV/atom.

a b c (Å): 4.850 4.850 4.850
angles (deg): 60.00 60.00 60.00
Site moments in Bohr magnetons follow the coordinates.
Fractional coordinates of all 4 atoms:
Au1 0.250 0.250 0.250  0.00
Ce1 0.500 0.500 0.500  0.25
Pt1 0.750 0.750 0.750  -0.01
Al1 0.000 0.000 0.000  0.00

***

This record from Alexandria describes Ce2PuPa3P6 after structural relaxation. The functional is GGA-PBE.

As for the density: 8.522 g/cm³. The total energy comes out at -8.63 eV per atom. The size of the total moment comes out at 5.39 μB per formula unit. The calculation puts the energy of formation from the pure elements at -1365.6 meV/atom.

a b c (Å): 6.940 6.940 6.953
angles (deg): 99.57 99.57 120.02
Site moments in Bohr magnetons follow the coordinates.
Fractional coordinates of all 12 atoms:
Ce1 0.334 0.666 0.000  -0.01
Ce2 0.666 0.334 0.000  -0.01
Pu1 0.000 0.000 0.000  5.05
Pa1 0.168 0.832 0.500  0.04
Pa2 0.832 0.168 0.500  0.04
Pa3 0.500 0.500 0.500  0.05
P1 0.915 0.584 0.743  -0.02
P2 0.756 0.756 0.258  -0.02
P3 0.085 0.416 0.257  -0.02
P4 0.584 0.915 0.743  -0.02
P5 0.244 0.244 0.742  -0.02
P6 0.416 0.085 0.257  -0.02

***

This record from Alexandria describes V12Sn3Au after structural relaxation. The functional is GGA-PBE.

As for the density: 8.020 g/cm³. The total energy comes out at -7.85 eV per atom. The size of the total moment comes out at 0.42 μB per formula unit. The calculation puts the energy of formation from the pure elements at -54.5 meV/atom.

a b c (Å): 4.942 4.932 9.893
angles (deg): 90.00 90.00 90.00
Site moments in Bohr magnetons follow the coordinates.
Fractional coordinates of all 16 atoms:
V1 0.500 0.000 0.382  -0.04
V2 0.500 0.000 0.870  0.04
V3 0.748 0.500 0.000  0.00
V4 0.756 0.500 0.500  0.18
V5 0.000 0.752 0.253  -0.01
V6 0.000 0.752 0.747  -0.01
V7 0.500 0.000 0.130  0.04
V8 0.500 0.000 0.618  -0.04
V9 0.252 0.500 0.000  0.00
V10 0.244 0.500 0.500  0.18
V11 0.000 0.248 0.253  -0.01
V12 0.000 0.248 0.747  -0.01
Sn1 0.500 0.500 0.250  0.00
Sn2 0.500 0.500 0.750  0.00
Sn3 0.000 0.000 0.000  0.00
Au1 0.000 0.000 0.500  0.01